Entry from the Alexandria database: crystalline Li2Fe3SnO8 at its relaxed geometry (PBE+U).

## Properties
The energy is -5.992 eV per atom. The magnetization comes out at 2.0 μB per cell.

Cell: 5.907 10.311 6.054 Å, 106.25 60.92 89.85°
Atoms (fractional coordinates):
Li: 0.319 0.562 0.355
Li: 0.816 0.063 0.365
Li: 0.195 0.938 0.633
Li: 0.670 0.436 0.644
Fe: 0.261 0.749 0.986
Fe: 0.765 0.749 0.984
Fe: 0.996 0.500 0.997
Fe: 0.740 0.251 0.015
Fe: 0.236 0.250 0.014
Fe: 0.505 0.003 0.004
Sn: 0.762 0.752 0.490
Sn: 0.236 0.249 0.510
O: 0.092 0.635 0.773
O: 0.599 0.139 0.809
O: 0.431 0.868 0.198
O: 0.878 0.357 0.217
O: 0.898 0.857 0.209
O: 0.382 0.356 0.234
O: 0.125 0.627 0.209
O: 0.614 0.131 0.233
O: 0.660 0.633 0.219
O: 0.141 0.133 0.240
O: 0.869 0.864 0.757
O: 0.328 0.370 0.785
O: 0.395 0.873 0.771
O: 0.865 0.370 0.791
O: 0.623 0.643 0.767
O: 0.097 0.143 0.788